Record 1
The following is a PBE calculation of a relaxed structure of NdReW, from OQMD via LeMat-Bulk.

Properties
ΔE_f: 977 meV/atom
M_tot: 0.00 Bohr magnetons per cell

a = 6.4410 Å, b = 6.4410 Å, c = 6.4410 Å
α = 90.00°, β = 90.00°, γ = 90.00°
Last column: nearest neighbours and their distance in Å.
Space group F-43m (No. 216)
Symmetry-distinct sites (fractional):
Nd1 0.0000 0.0000 0.0000 (multiplicity 4)  4 W 2.79
Re1 0.0000 0.0000 0.5000 (multiplicity 4)  4 W 2.79
W1 0.2500 0.2500 0.2500 (multiplicity 4)  4 Nd 2.79, 4 Re 2.79

Record 2
The following is a PBE calculation of a relaxed structure of NdReW, from OQMD via LeMat-Bulk.

Properties
ΔE_f: 2263 meV/atom
M_tot: 0.18 Bohr magnetons per cell

a = 6.4500 Å, b = 6.4500 Å, c = 6.4500 Å
α = 90.00°, β = 90.00°, γ = 90.00°
Last column: nearest neighbours and their distance in Å.
Space group F-43m (No. 216)
Symmetry-distinct sites (fractional):
Nd1 0.0000 0.0000 0.0000 (multiplicity 4)  4 Re 2.79, 4 W 2.79
Re1 0.2500 0.2500 0.7500 (multiplicity 4)  4 Nd 2.79
W1 0.2500 0.2500 0.2500 (multiplicity 4)  4 Nd 2.79

Record 3
The following is a PBE calculation of a relaxed structure of NdYRe, from OQMD via LeMat-Bulk.

Properties
ΔE_f: 1181 meV/atom
M_tot: 0.25 Bohr magnetons per cell

a = 6.8375 Å, b = 6.8375 Å, c = 6.8375 Å
α = 90.00°, β = 90.00°, γ = 90.00°
Last column: nearest neighbours and their distance in Å.
Space group F-43m (No. 216)
Symmetry-distinct sites (fractional):
Nd1 0.0000 0.0000 0.0000 (multiplicity 4)  4 Y 2.96
Y1 0.2500 0.2500 0.2500 (multiplicity 4)  4 Re 2.96, 4 Nd 2.96
Re1 0.0000 0.0000 0.5000 (multiplicity 4)  4 Y 2.96

Record 4
The following is a PBE calculation of a relaxed structure of NdZrRe, from OQMD via LeMat-Bulk.

Properties
ΔE_f: 1399 meV/atom
M_tot: 0.05 Bohr magnetons per cell

a = 6.6405 Å, b = 6.6405 Å, c = 6.6405 Å
α = 90.00°, β = 90.00°, γ = 90.00°
Last column: nearest neighbours and their distance in Å.
Space group F-43m (No. 216)
Symmetry-distinct sites (fractional):
Nd1 0.0000 0.0000 0.0000 (multiplicity 4)  4 Zr 2.88, 4 Re 2.88
Zr1 0.2500 0.2500 0.2500 (multiplicity 4)  4 Nd 2.88
Re1 0.2500 0.2500 0.7500 (multiplicity 4)  4 Nd 2.88

Record 5
The following is a PBE calculation of a relaxed structure of NdZrRe, from OQMD via LeMat-Bulk.

Properties
ΔE_f: 856 meV/atom
M_tot: 0.00 Bohr magnetons per cell

a = 6.6401 Å, b = 6.6401 Å, c = 6.6401 Å
α = 90.00°, β = 90.00°, γ = 90.00°
Last column: nearest neighbours and their distance in Å.
Space group F-43m (No. 216)
Symmetry-distinct sites (fractional):
Nd1 0.0000 0.0000 0.0000 (multiplicity 4)  4 Zr 2.88
Zr1 0.2500 0.2500 0.2500 (multiplicity 4)  4 Re 2.88, 4 Nd 2.88
Re1 0.0000 0.0000 0.5000 (multiplicity 4)  4 Zr 2.88

Record 6
The following is a PBE calculation of a relaxed structure of Nd10S19, from OQMD via LeMat-Bulk.

Properties
raw total energy: -356.80 eV for the cell shown
M_tot: 0.00 Bohr magnetons per cell

a = 8.9452 Å, b = 8.9452 Å, c = 16.2020 Å
α = 90.00°, β = 90.00°, γ = 90.00°
Last column: nearest neighbours and their distance in Å.
Space group P4_2/n (No. 86, origin choice 2)
Symmetry-distinct sites (fractional):
Nd1 0.0410 0.3480 0.1222 (multiplicity 8)  9 S 2.90-3.17
Nd2 0.0555 0.3542 0.6028 (multiplicity 8)  8 S 2.86-3.11
Nd3 0.2500 0.7500 0.1144 (multiplicity 4)  9 S 2.89-2.98
S1 0.0301 0.8046 0.2490 (multiplicity 8)  1 S 2.16
S2 0.0493 0.3480 0.4263 (multiplicity 8)  5 Nd 2.86-3.00
S3 0.0529 0.3518 0.9379 (multiplicity 8)  5 Nd 2.86-2.99
S4 0.0767 0.8887 0.7501 (multiplicity 8)  1 S 2.16
S5 0.2500 0.2500 0.2500 (multiplicity 2)  4 Nd 2.92, 4 S 3.17
S6 0.2500 0.7500 0.4343 (multiplicity 4)  5 Nd 2.90-2.95

Record 7
The following is a PBE calculation of a relaxed structure of Nd2S3, from OQMD via LeMat-Bulk.

Properties
raw total energy: -128.96 eV for the cell shown
M_tot: 0.00 Bohr magnetons per cell

a = 7.4989 Å, b = 4.0539 Å, c = 15.6422 Å
α = 90.00°, β = 90.00°, γ = 90.00°
Last column: nearest neighbours and their distance in Å.
Space group Pnma (No. 62)
Symmetry-distinct sites (fractional):
Nd1 0.1446 0.2500 0.2043 (multiplicity 4)  8 S 2.83-3.11
Nd2 0.2352 0.7500 0.4561 (multiplicity 4)  7 S 2.83-3.02
S1 0.0093 0.2500 0.3907 (multiplicity 4)  5 Nd 2.83-3.11
S2 0.1258 0.7500 0.0673 (multiplicity 4)  5 Nd 2.87-2.95, 1 S 3.13
S3 0.1458 0.2500 0.7811 (multiplicity 4)  5 Nd 2.83-2.98, 1 S 3.13

Record 8
The following is a PBE calculation of a relaxed structure of Nd2SbS, from OQMD via LeMat-Bulk.

Properties
raw total energy: -23.85 eV for the cell shown
M_tot: 0.01 Bohr magnetons per cell

a = 4.3280 Å, b = 4.3280 Å, c = 6.1201 Å
α = 90.00°, β = 90.00°, γ = 90.00°
Last column: nearest neighbours and their distance in Å.
Space group P4/mmm (No. 123)
Symmetry-distinct sites (fractional):
Nd1 0.0000 0.0000 0.0000 (multiplicity 1)  2 Sb 3.06, 4 S 3.06
Nd2 0.5000 0.5000 0.5000 (multiplicity 1)  2 S 3.06, 4 Sb 3.06
Sb1 0.0000 0.0000 0.5000 (multiplicity 1)  6 Nd 3.06
S1 0.5000 0.5000 0.0000 (multiplicity 1)  6 Nd 3.06

Record 9
The following is a PBE calculation of a relaxed structure of NdSb3S6, from OQMD via LeMat-Bulk.

Properties
raw total energy: -98.07 eV for the cell shown
M_tot: 0.01 Bohr magnetons per cell

a = 11.6289 Å, b = 3.9020 Å, c = 11.8952 Å
α = 90.00°, β = 103.28°, γ = 90.00°
Last column: nearest neighbours and their distance in Å.
Space group P2_1/m (No. 11)
Symmetry-distinct sites (fractional):
Nd1 0.1870 0.2500 0.0308 (multiplicity 2)  8 S 2.89-3.03
Sb1 0.0322 0.7500 0.2905 (multiplicity 2)  3 S 2.48-2.70
Sb2 0.3358 0.2500 0.4232 (multiplicity 2)  3 S 2.55-2.57
Sb3 0.4047 0.7500 0.8456 (multiplicity 2)  3 S 2.49-2.57
S1 0.0357 0.7500 0.8899 (multiplicity 2)  2 Sb 2.87, 3 Nd 2.89-2.95
S2 0.1218 0.2500 0.4418 (multiplicity 2)  3 Sb 2.55-2.70
S3 0.2176 0.7500 0.2203 (multiplicity 2)  1 Sb 2.48
S4 0.2575 0.2500 0.8004 (multiplicity 2)  2 Sb 2.57
S5 0.3820 0.7500 0.0486 (multiplicity 2)  1 Sb 2.49
S6 0.3865 0.7500 0.5662 (multiplicity 2)  2 Sb 2.57

Record 10
The following is a PBE calculation of a relaxed structure of Nd2ScS3, from OQMD via LeMat-Bulk.

Properties
raw total energy: -39.95 eV for the cell shown
M_tot: 0.00 Bohr magnetons per cell

a = 3.9131 Å, b = 3.9131 Å, c = 9.7936 Å
α = 90.00°, β = 90.00°, γ = 120.00°
Last column: nearest neighbours and their distance in Å.
Space group P-3m1 (No. 164)
Symmetry-distinct sites (fractional):
Nd1 0.3333 0.6667 0.1761 (multiplicity 2)  6 S 2.84-2.88
Sc1 0.0000 0.0000 0.5000 (multiplicity 1)  6 S 2.65
S1 0.0000 0.0000 0.0000 (multiplicity 1)  6 Nd 2.84
S2 0.3333 0.6667 0.6420 (multiplicity 2)  3 Sc 2.65, 3 Nd 2.88

Record 11
The following is a PBE calculation of a relaxed structure of NdScS3, from OQMD via LeMat-Bulk.

Properties
raw total energy: -134.00 eV for the cell shown
M_tot: 0.00 Bohr magnetons per cell

a = 3.8119 Å, b = 12.2157 Å, c = 9.2975 Å
α = 90.00°, β = 90.00°, γ = 90.00°
Last column: nearest neighbours and their distance in Å.
Space group Cmcm (No. 63)
Symmetry-distinct sites (fractional):
Nd1 0.0000 0.2461 0.2500 (multiplicity 4)  6 S 2.80-2.96
Sc1 0.0000 0.5000 0.0000 (multiplicity 4)  6 S 2.51-2.62
S1 0.0000 0.1397 0.5587 (multiplicity 8)  2 Sc 2.62
S2 0.0000 0.4215 0.7500 (multiplicity 4)  2 Sc 2.51, 2 Nd 2.80

Record 12
The following is a PBE calculation of a relaxed structure of NdSeS, from OQMD via LeMat-Bulk.

Properties
raw total energy: -69.34 eV for the cell shown
M_tot: 0.01 Bohr magnetons per cell

a = 8.4000 Å, b = 4.1461 Å, c = 8.2242 Å
α = 90.00°, β = 90.12°, γ = 90.00°
Last column: nearest neighbours and their distance in Å.
Space group P2_1/c (No. 14)
Symmetry-distinct sites (fractional):
Nd1 0.2352 0.2160 0.3718 (multiplicity 4)  3 S 2.86-3.15, 5 Se 2.95-3.19
Se1 0.1312 0.7420 0.1251 (multiplicity 4)  5 Nd 2.95-3.19
S1 0.4974 0.6537 0.3941 (multiplicity 4)  1 S 2.16

Record 13
The following is a PBE calculation of a relaxed structure of Nd2SeS2, from OQMD via LeMat-Bulk.

Properties
raw total energy: -31.18 eV for the cell shown
M_tot: 0.01 Bohr magnetons per cell

a = 4.5811 Å, b = 4.5811 Å, c = 7.4175 Å
α = 90.00°, β = 90.00°, γ = 120.00°
Last column: nearest neighbours and their distance in Å.
Space group P-3m1 (No. 164)
Symmetry-distinct sites (fractional):
Nd1 0.3333 0.6667 0.2516 (multiplicity 2)  4 S 2.77-2.88
Se1 0.0000 0.0000 0.0000 (multiplicity 1)  6 Nd 3.24
S1 0.3333 0.6667 0.6393 (multiplicity 2)  4 Nd 2.77-2.88

Record 14
The following is a PBE calculation of a relaxed structure of Nd3SeS2, from OQMD via LeMat-Bulk.

Properties
raw total energy: -37.81 eV for the cell shown
M_tot: 0.00 Bohr magnetons per cell

a = 4.1187 Å, b = 4.1187 Å, c = 10.1012 Å
α = 90.00°, β = 90.00°, γ = 120.00°
Last column: nearest neighbours and their distance in Å.
Space group P-3m1 (No. 164)
Symmetry-distinct sites (fractional):
Nd1 0.0000 0.0000 0.0000 (multiplicity 1)  6 S 2.88
Nd2 0.3333 0.6667 0.3197 (multiplicity 2)  3 S 2.86, 3 Se 3.00
Se1 0.0000 0.0000 0.5000 (multiplicity 1)  6 Nd 3.00
S1 0.3333 0.6667 0.8383 (multiplicity 2)  6 Nd 2.86-2.88

Record 15
The following is a PBE calculation of a relaxed structure of Nd2Sm2Se3S4, from OQMD via LeMat-Bulk.

Properties
raw total energy: -130.08 eV for the cell shown
M_tot: 0.01 Bohr magnetons per cell

a = 10.1090 Å, b = 4.2997 Å, c = 13.6211 Å
α = 90.00°, β = 90.00°, γ = 90.00°
Last column: nearest neighbours and their distance in Å.
Space group Amm2 (No. 38)
Symmetry-distinct sites (fractional):
Nd1 0.0000 0.0000 0.0000 (multiplicity 2)  4 S 2.75-2.78, 2 Se 3.07
Nd2 0.5000 0.0000 0.0141 (multiplicity 2)  4 S 2.77-2.83
Sm1 0.2388 0.0000 0.7167 (multiplicity 4)  4 S 2.71-2.80
Se1 0.0000 0.0000 0.3390 (multiplicity 2)  2 Nd 3.07
Se2 0.3785 0.0000 0.3643 (multiplicity 4)  1 Se 2.46
S1 0.0000 0.0000 0.6258 (multiplicity 2)  2 Sm 2.71, 2 Nd 2.75
S2 0.2463 0.0000 0.0901 (multiplicity 4)  2 Sm 2.76, 2 Nd 2.77-2.78
S3 0.5000 0.0000 0.6489 (multiplicity 2)  2 Sm 2.80, 2 Nd 2.83

Record 16
The following is a PBE calculation of a relaxed structure of NdTlSeS, from OQMD via LeMat-Bulk.

Properties
raw total energy: -61.22 eV for the cell shown
M_tot: 0.00 Bohr magnetons per cell

a = 4.2544 Å, b = 4.2544 Å, c = 22.9296 Å
α = 90.00°, β = 90.00°, γ = 120.00°
Last column: nearest neighbours and their distance in Å.
Space group R3m (No. 160, hexagonal axes)
Symmetry-distinct sites (fractional):
Nd1 0.0000 0.0000 0.0000 (multiplicity 3)  3 S 2.85, 3 Se 3.00
Tl1 0.0000 0.0000 0.4965 (multiplicity 3)  3 Se 3.29, 3 S 3.37
Se1 0.0000 0.0000 0.2585 (multiplicity 3)  3 Nd 3.00, 3 Tl 3.29
S1 0.0000 0.0000 0.7294 (multiplicity 3)  3 Nd 2.85

Record 17
The following is a PBE calculation of a relaxed structure of Nd4Si3S12, from OQMD via LeMat-Bulk.

Properties
raw total energy: -670.19 eV for the cell shown
M_tot: 0.02 Bohr magnetons per cell

a = 19.2058 Å, b = 19.2058 Å, c = 7.9602 Å
α = 90.00°, β = 90.00°, γ = 120.00°
Last column: nearest neighbours and their distance in Å.
Space group R3c (No. 161, hexagonal axes)
Symmetry-distinct sites (fractional):
Nd1 0.0000 0.0000 0.0000 (multiplicity 6)  6 S 2.88
Nd2 0.0038 0.2327 0.2102 (multiplicity 18)  7 S 2.85-3.04
Si1 0.1475 0.4676 0.3240 (multiplicity 18)  4 S 2.12-2.17
S1 0.0657 0.3982 0.5186 (multiplicity 18)  1 Si 2.13
S2 0.0846 0.2016 0.5066 (multiplicity 18)  1 Si 2.12
S3 0.1253 0.0613 0.7498 (multiplicity 18)  1 Si 2.17
S4 0.1532 0.3806 0.1680 (multiplicity 18)  1 Si 2.13

Record 18
The following is a PBE calculation of a relaxed structure of Nd5SmS6, from OQMD via LeMat-Bulk.

Properties
raw total energy: -155.25 eV for the cell shown
M_tot: 0.02 Bohr magnetons per cell

a = 7.0195 Å, b = 12.1947 Å, c = 7.0157 Å
α = 90.00°, β = 109.60°, γ = 90.00°
Last column: nearest neighbours and their distance in Å.
Space group C2/m (No. 12)
Symmetry-distinct sites (fractional):
Nd1 0.0000 0.0000 0.0000 (multiplicity 2)  6 S 2.87-2.89
Nd2 0.0000 0.1670 0.5000 (multiplicity 4)  6 S 2.87
Nd3 0.0000 0.3319 0.0000 (multiplicity 4)  6 S 2.87-2.88
Sm1 0.0000 0.5000 0.5000 (multiplicity 2)  6 S 2.84
S1 0.2473 0.5000 0.2512 (multiplicity 4)  1 Sm 2.84, 5 Nd 2.87-2.89
S2 0.2477 0.3350 0.7478 (multiplicity 8)  1 Sm 2.84, 5 Nd 2.87-2.88